No. 1
Material: Pr6Dy2Y3
Method: DFT, PBE-GGA
State: relaxed

Cell: 4.844 4.844 17.282 Å, 98.06 98.06 90.00°
Sites, in units of the cell vectors:
1 Pr 0.119 0.619 0.238
2 Pr 0.619 0.119 0.238
3 Pr 0.881 0.381 0.762
4 Pr 0.381 0.881 0.762
5 Pr 0.696 0.696 0.392
6 Pr 0.304 0.304 0.608
7 Dy 0.455 0.455 0.910
8 Dy 0.545 0.545 0.090
9 Y 0.000 0.000 0.000
10 Y 0.799 0.799 0.598
11 Y 0.201 0.201 0.402

Output
- Spin magnetization: 0.000 μB per atom
- Calculated formation energy: 294 meV per atom
- E above lowest polymorph: 0.279 eV/atom



No. 2
Material: Ac2PdS3
Method: DFT, PBE-GGA
State: relaxed

Cell: 4.032 4.551 8.875 Å, 104.86 103.13 90.00°
Sites, in units of the cell vectors:
1 Ac 0.637 0.637 0.274
2 Ac 0.363 0.363 0.726
3 Pd 0.000 0.000 0.000
4 S 0.000 0.500 0.000
5 S 0.819 0.819 0.637
6 S 0.181 0.181 0.363

Output
- Energy relative to the elements, uncorrected: -1.7127 eV per atom
- Spin magnetization: 0.000 μB per atom
- E above lowest polymorph: 0.088 eV/atom